# LiSm2Ho (PBE-GGA, relaxed)
# excess energy over the best structure of this formula in the dataset = 97.0 meV/atom
data_LiSm2Ho
_chemical_formula_sum 'Li4 Sm8 Ho4'
_cell_length_a 7.829
_cell_length_b 7.829
_cell_length_c 7.829
_cell_angle_alpha 90.00
_cell_angle_beta 90.00
_cell_angle_gamma 90.00
_space_group_name_H-M_alt 'F m -3 m'
_space_group_IT_number 225
_space_group_name_Hall '-F 4 2 3'
loop_
_atom_site_label
_atom_site_type_symbol
_atom_site_fract_x
_atom_site_fract_y
_atom_site_fract_z
Li1 Li 0.000 0.000 0.000
Sm1 Sm 0.250 0.250 0.250
Ho1 Ho 0.000 0.000 0.500